(1)
A geometry-optimized Zn4Cd2Au5 structure. Source: Alexandria via LeMat-Bulk, functional GGA-PBE.

a b c (Å): 5.5576 7.6235 9.1100
angles (deg): 34.50 72.24 68.62
Closest atoms and distances in Å follow each position.
Positions (direct):
Zn  0.2685  0.3046  0.1584  1 Zn 2.65, 4 Au 2.66-2.71, 2 Cd 2.70-2.86
Zn  0.4453  0.7957  0.3137  2 Zn 2.50-2.65, 2 Au 2.76
Au  0.3561  0.6659  0.1224  4 Zn 2.66-2.83, 3 Au 2.78-2.80
Au  0.0000  0.5000  0.5000  4 Au 2.80, 2 Cd 2.90, 4 Zn 3.05
Zn  0.7315  0.6954  0.8416  1 Zn 2.65, 4 Au 2.66-2.71, 2 Cd 2.70-2.86
Au  0.1444  0.3341  0.8776  4 Zn 2.66-2.83, 3 Au 2.78-2.80
Au  0.6439  0.3341  0.8776  4 Zn 2.66-2.83, 3 Au 2.78-2.80
Zn  0.5547  0.2043  0.6863  2 Zn 2.50-2.65, 2 Au 2.76
Au  0.8556  0.6659  0.1224  4 Zn 2.66-2.83, 3 Au 2.78-2.80
Cd  0.1959  0.9611  0.6471  4 Zn 2.70-3.00, 1 Au 2.90
Cd  0.8041  0.0389  0.3529  4 Zn 2.70-3.00, 1 Au 2.90

Results
- Space-group type: C2/m (12)
- Energy of formation: -71 meV per atom
- Total energy: -24.1 eV/cell

***

(2)
A geometry-optimized ZnCdAu2 structure. Source: Alexandria via LeMat-Bulk, functional GGA-PBE.

a b c (Å): 3.2520 3.2520 6.7521
angles (deg): 90.00 90.00 90.00
Closest atoms and distances in Å follow each position.
Positions (direct):
Cd  0.0000  0.0000  0.5000  8 Au 2.97, 4 Cd 3.25
Zn  0.0000  0.0000  0.0000  8 Au 2.75
Au  0.5000  0.5000  0.2225  4 Zn 2.75, 4 Cd 2.97, 1 Au 3.00
Au  0.5000  0.5000  0.7775  4 Zn 2.75, 4 Cd 2.97, 1 Au 3.00

Results
- Space-group type: P4/mmm (123)
- Energy of formation: -196 meV per atom
- Total energy: -9.5 eV/cell

***

(3)
A geometry-optimized Zn6CdAu3 structure. Source: Alexandria via LeMat-Bulk, functional GGA-PBE.

a b c (Å): 6.3773 7.4976 7.4976
angles (deg): 83.45 90.00 90.00
Closest atoms and distances in Å follow each position.
Positions (direct):
Au  0.4123  0.9606  0.7245  7 Zn 2.62-2.76
Zn  0.8123  0.9775  0.6153  2 Au 2.62-2.68, 4 Zn 2.65-2.85
Au  0.3703  0.4952  0.5048  6 Zn 2.66-2.73, 2 Cd 2.89-2.91
Zn  0.6989  0.0254  0.9746  3 Zn 2.61-2.85, 4 Au 2.65-2.70, 1 Cd 2.89
Cd  0.1050  0.2575  0.7425  4 Zn 2.89-3.08, 4 Au 2.89-2.98
Zn  0.3123  0.0225  0.3847  2 Au 2.62-2.68, 4 Zn 2.65-2.85
Zn  0.1192  0.3539  0.2624  4 Au 2.62-2.73, 3 Zn 2.65-2.83
Zn  0.1989  0.9746  0.0254  3 Zn 2.61-2.85, 4 Au 2.65-2.70, 1 Cd 2.89
Zn  0.3123  0.6153  0.9775  2 Au 2.62-2.68, 4 Zn 2.65-2.85
Au  0.9123  0.0394  0.2755  7 Zn 2.62-2.76
Zn  0.8123  0.3847  0.0225  2 Au 2.62-2.68, 4 Zn 2.65-2.85
Au  0.8703  0.5048  0.4952  6 Zn 2.66-2.73, 2 Cd 2.89-2.91
Au  0.4123  0.2755  0.0394  7 Zn 2.62-2.76
Zn  0.6192  0.6461  0.7376  4 Au 2.62-2.73, 3 Zn 2.65-2.83
Cd  0.6050  0.7425  0.2575  4 Zn 2.89-3.08, 4 Au 2.89-2.98
Au  0.9123  0.7245  0.9606  7 Zn 2.62-2.76
Zn  0.6192  0.2624  0.3539  4 Au 2.62-2.73, 3 Zn 2.65-2.83
Zn  0.6236  0.2829  0.7171  5 Zn 2.61-2.77, 4 Au 2.66-2.76
Zn  0.1192  0.7376  0.6461  4 Au 2.62-2.73, 3 Zn 2.65-2.83
Zn  0.1236  0.7171  0.2829  5 Zn 2.61-2.77, 4 Au 2.66-2.76

Results
- Space-group type: Cmc2_1 (36)
- Energy of formation: -76 meV per atom
- Total energy: -38.3 eV/cell